{
  "formula": "Mg6CoCuO8",
  "functional": "PBE with a Hubbard U",
  "state": "relaxed",
  "lattice": [[4.2122, 0.0000, 0.0000], [0.0000, 4.2122, 0.0000], [0.0000, 0.0000, 8.5752]],
  "species": ["Mg", "Mg", "Mg", "Mg", "Mg", "Mg", "Co", "Cu", "O", "O", "O", "O", "O", "O", "O", "O"],
  "fractional_positions": [[0.0000, 0.0000, 0.0000], [0.0000, 0.0000, 0.5000], [0.0000, 0.5000, 0.2482], [0.0000, 0.5000, 0.7518], [0.5000, 0.0000, 0.2482], [0.5000, 0.0000, 0.7518], [0.5000, 0.5000, 0.0000], [0.5000, 0.5000, 0.5000], [0.0000, 0.0000, 0.2504], [0.0000, 0.0000, 0.7496], [0.0000, 0.5000, 0.0000], [0.0000, 0.5000, 0.5000], [0.5000, 0.0000, 0.0000], [0.5000, 0.0000, 0.5000], [0.5000, 0.5000, 0.2304], [0.5000, 0.5000, 0.7696]],
  "vol_a3_per_atom": 9.5,
  "crystal_system": "tetragonal",
  "de_polymorph_kj_per_mol_fu": 34,
  "space_group": "No. 123"
}